# 1
# LaZnGa2Ni (PBE, optimized geometry)
# Fermi-level density of states   3.0 states/eV/f.u.
# ΔH_f (0 K)   -0.519 eV per atom
# Calculated volume   95.1 Å³/f.u.
# Magnetic moment   0.00 μB/cell
# Total DFT energy (no corrections)   -4.126 eV per atom
data_LaZnGa2Ni
_chemical_formula_sum 'La2 Zn2 Ga4 Ni2'
_space_group_name_H-M_alt 'C 1 m 1'
_space_group_IT_number 8
_cell_length_a 11.188
_cell_length_b 4.296
_cell_length_c 4.280
_cell_angle_alpha 90.00
_cell_angle_beta 112.35
_cell_angle_gamma 90.00
loop_
_space_group_symop_operation_xyz
'x,y,z'
'x,-y,z'
'x+1/2,y+1/2,z'
'x+1/2,-y+1/2,z'
loop_
_atom_site_label
_atom_site_fract_x
_atom_site_fract_y
_atom_site_fract_z
La1 0.000 0.000 0.000
Zn1 0.255 0.500 0.254
Ga1 0.103 0.500 0.603
Ga2 0.258 0.000 0.758
Ni1 0.374 0.000 0.373

# 2
# LaZnGa2Ni4 (PBE, optimized geometry)
# Fermi-level density of states   3.8 states/eV/f.u.
# ΔH_f (0 K)   -0.392 eV per atom
# Calculated volume   122.8 Å³/f.u.
# Magnetic moment   0.00 μB/cell
# Total DFT energy (no corrections)   -4.815 eV per atom
data_LaZnGa2Ni4
_chemical_formula_sum 'La3 Zn3 Ga6 Ni12'
_space_group_name_H-M_alt 'R -3 m'
_space_group_IT_number 166
_space_group_name_Hall '-R 3 2"'
_cell_length_a 4.0710
_cell_length_b 4.0710
_cell_length_c 25.6649
_cell_angle_alpha 90.00
_cell_angle_beta 90.00
_cell_angle_gamma 120.00
loop_
_atom_site_label
_atom_site_fract_x
_atom_site_fract_y
_atom_site_fract_z
La1 0.0000 0.0000 0.0000
Zn1 0.0000 0.0000 0.5000
Ga1 0.0000 0.0000 0.2359
Ni1 0.0000 0.0000 0.1324
Ni2 0.0000 0.0000 0.4070

# 3
# LaZn2GaNi2 (PBE, optimized geometry)
# Fermi-level density of states   3.4 states/eV/f.u.
# ΔH_f (0 K)   -0.167 eV per atom
# Calculated volume   113.6 Å³/f.u.
# Magnetic moment   0.00 μB/cell
# Total DFT energy (no corrections)   -3.845 eV per atom
data_LaZn2GaNi2
_chemical_formula_sum 'La1 Zn2 Ga1 Ni2'
_space_group_name_H-M_alt 'P 4/m m m'
_space_group_IT_number 123
_space_group_name_Hall '-P 4 2'
_cell_length_a 4.424
_cell_length_b 4.424
_cell_length_c 5.804
_cell_angle_alpha 90.00
_cell_angle_beta 90.00
_cell_angle_gamma 90.00
loop_
_atom_site_label
_atom_site_fract_x
_atom_site_fract_y
_atom_site_fract_z
La1 0.000 0.000 0.000
Zn1 0.500 0.500 0.257
Ga1 0.000 0.000 0.500
Ni1 0.000 0.500 0.500

# 4
# La2Zn2GaNi5 (PBE, optimized geometry)
# Fermi-level density of states   6.0 states/eV/f.u.
# ΔH_f (0 K)   -0.206 eV per atom
# Calculated volume   163.1 Å³/f.u.
# Magnetic moment   0.00 μB/cell
# Total DFT energy (no corrections)   -4.640 eV per atom
data_La2Zn2GaNi5
_chemical_formula_sum 'La4 Zn4 Ga2 Ni10'
_space_group_name_H-M_alt 'P 4/m b m'
_space_group_IT_number 127
_space_group_name_Hall '-P 4 2ab'
_cell_length_a 9.842
_cell_length_b 9.842
_cell_length_c 3.368
_cell_angle_alpha 90.00
_cell_angle_beta 90.00
_cell_angle_gamma 90.00
loop_
_atom_site_label
_atom_site_fract_x
_atom_site_fract_y
_atom_site_fract_z
La1 0.178 0.322 0.000
Zn1 0.122 0.622 0.000
Ga1 0.000 0.000 0.000
Ni1 0.000 0.500 0.500
Ni2 0.053 0.807 0.500

# 5
# LaZnGaNi3 (PBE, optimized geometry)
# Fermi-level density of states   2.6 states/eV/f.u.
# ΔH_f (0 K)   -0.203 eV per atom
# Calculated volume   99.9 Å³/f.u.
# Magnetic moment   0.00 μB/cell
# Total DFT energy (no corrections)   -4.632 eV per atom
data_LaZnGaNi3
_chemical_formula_sum 'La4 Zn4 Ga4 Ni12'
_space_group_name_H-M_alt 'C m c m'
_space_group_IT_number 63
_space_group_name_Hall '-C 2c 2'
_cell_length_a 5.473
_cell_length_b 12.488
_cell_length_c 5.847
_cell_angle_alpha 90.00
_cell_angle_beta 90.00
_cell_angle_gamma 90.00
loop_
_atom_site_label
_atom_site_fract_x
_atom_site_fract_y
_atom_site_fract_z
La1 0.000 0.187 0.250
Zn1 0.000 0.141 0.750
Ga1 0.000 0.424 0.250
Ni1 0.000 0.355 0.750
Ni2 0.221 0.000 0.000

# 6
# LaZn2GaNi (PBE, optimized geometry)
# Fermi-level density of states   3.6 states/eV/f.u.
# ΔH_f (0 K)   -0.409 eV per atom
# Calculated volume   94.4 Å³/f.u.
# Magnetic moment   0.00 μB/cell
# Total DFT energy (no corrections)   -3.666 eV per atom
data_LaZn2GaNi
_chemical_formula_sum 'La2 Zn4 Ga2 Ni2'
_space_group_name_H-M_alt 'I m m 2'
_space_group_IT_number 44
_cell_length_a 4.113
_cell_length_b 4.270
_cell_length_c 10.750
_cell_angle_alpha 90.00
_cell_angle_beta 90.00
_cell_angle_gamma 90.00
loop_
_space_group_symop_operation_xyz
'x,y,z'
'-x,-y,z'
'-x,y,z'
'x,-y,z'
'x+1/2,y+1/2,z+1/2'
'-x+1/2,-y+1/2,z+1/2'
'-x+1/2,y+1/2,z+1/2'
'x+1/2,-y+1/2,z+1/2'
loop_
_atom_site_label
_atom_site_fract_x
_atom_site_fract_y
_atom_site_fract_z
La1 0.000 0.000 0.000
Zn1 0.000 0.000 0.613
Zn2 0.000 0.500 0.261
Ga1 0.000 0.500 0.761
Ni1 0.000 0.000 0.385

# 7
# La2Zn3GaNi12 (PBE, optimized geometry)
# Fermi-level density of states   13.5 states/eV/f.u.
# ΔH_f (0 K)   0.035 eV per atom
# Calculated volume   275.4 Å³/f.u.
# Magnetic moment   0.00 μB/cell
# Total DFT energy (no corrections)   -4.747 eV per atom
data_La2Zn3GaNi12
_chemical_formula_sum 'La6 Zn9 Ga3 Ni36'
_space_group_name_H-M_alt 'R -3 m'
_space_group_IT_number 166
_space_group_name_Hall '-R 3 2"'
_cell_length_a 6.0954
_cell_length_b 6.0954
_cell_length_c 25.6766
_cell_angle_alpha 90.00
_cell_angle_beta 90.00
_cell_angle_gamma 120.00
loop_
_atom_site_label
_atom_site_fract_x
_atom_site_fract_y
_atom_site_fract_z
La1 0.0000 0.0000 0.1570
Zn1 0.0000 0.5000 0.0000
Ga1 0.0000 0.0000 0.5000
Ni1 0.0562 0.5281 0.0950
Ni2 0.0749 0.5375 0.6151

# 8
# LaZnGa2Ni (PBE, optimized geometry)
# Fermi-level density of states   3.5 states/eV/f.u.
# ΔH_f (0 K)   -0.418 eV per atom
# Calculated volume   99.3 Å³/f.u.
# Magnetic moment   0.00 μB/cell
# Total DFT energy (no corrections)   -4.026 eV per atom
data_LaZnGa2Ni
_chemical_formula_sum 'La1 Zn1 Ga2 Ni1'
_space_group_name_H-M_alt 'P 4/m m m'
_space_group_IT_number 123
_space_group_name_Hall '-P 4 2'
_cell_length_a 4.615
_cell_length_b 4.615
_cell_length_c 4.661
_cell_angle_alpha 90.00
_cell_angle_beta 90.00
_cell_angle_gamma 90.00
loop_
_atom_site_label
_atom_site_fract_x
_atom_site_fract_y
_atom_site_fract_z
La1 0.000 0.000 0.000
Zn1 0.500 0.500 0.000
Ga1 0.000 0.500 0.500
Ni1 0.500 0.500 0.500

# 9
# La2Zn3Ga4Ni (PBE, optimized geometry)
# Fermi-level density of states   5.5 states/eV/f.u.
# ΔH_f (0 K)   -0.498 eV per atom
# Calculated volume   194.6 Å³/f.u.
# Magnetic moment   0.00 μB/cell
# Total DFT energy (no corrections)   -3.654 eV per atom
data_La2Zn3Ga4Ni
_chemical_formula_sum 'La2 Zn3 Ga4 Ni1'
_space_group_name_H-M_alt 'P -4 m 2'
_space_group_IT_number 115
_cell_length_a 4.327
_cell_length_b 4.327
_cell_length_c 10.396
_cell_angle_alpha 90.00
_cell_angle_beta 90.00
_cell_angle_gamma 90.00
loop_
_space_group_symop_operation_xyz
'x,y,z'
'y,-x,-z'
'-x,-y,z'
'-y,x,-z'
'-x,y,z'
'-y,-x,-z'
'x,-y,z'
'y,x,-z'
loop_
_atom_site_label
_atom_site_fract_x
_atom_site_fract_y
_atom_site_fract_z
La1 0.000 0.500 0.242
Zn1 0.000 0.000 0.000
Zn2 0.000 0.500 0.638
Ga1 0.000 0.000 0.500
Ga2 0.000 0.500 0.880
Ga3 0.500 0.500 0.500
Ni1 0.500 0.500 0.000

# 10
# La2ZnGa4Ni3 (PBE, optimized geometry)
# Fermi-level density of states   8.7 states/eV/f.u.
# ΔH_f (0 K)   -0.541 eV per atom
# Calculated volume   182.6 Å³/f.u.
# Magnetic moment   0.00 μB/cell
# Total DFT energy (no corrections)   -4.599 eV per atom
data_La2ZnGa4Ni3
_chemical_formula_sum 'La2 Zn1 Ga4 Ni3'
_space_group_name_H-M_alt 'P -4 m 2'
_space_group_IT_number 115
_cell_length_a 4.232
_cell_length_b 4.232
_cell_length_c 10.197
_cell_angle_alpha 90.00
_cell_angle_beta 90.00
_cell_angle_gamma 90.00
loop_
_space_group_symop_operation_xyz
'x,y,z'
'y,-x,-z'
'-x,-y,z'
'-y,x,-z'
'-x,y,z'
'-y,-x,-z'
'x,-y,z'
'y,x,-z'
loop_
_atom_site_label
_atom_site_fract_x
_atom_site_fract_y
_atom_site_fract_z
La1 0.000 0.500 0.245
Zn1 0.000 0.000 0.500
Ga1 0.000 0.000 0.000
Ga2 0.000 0.500 0.635
Ga3 0.500 0.500 0.000
Ni1 0.000 0.500 0.874
Ni2 0.500 0.500 0.500

# 11
# LaZn2GaNi4 (PBE, optimized geometry)
# Fermi-level density of states   4.3 states/eV/f.u.
# ΔH_f (0 K)   -0.300 eV per atom
# Calculated volume   122.2 Å³/f.u.
# Magnetic moment   0.00 μB/cell
# Total DFT energy (no corrections)   -4.504 eV per atom
data_LaZn2GaNi4
_chemical_formula_sum 'La3 Zn6 Ga3 Ni12'
_space_group_name_H-M_alt 'R -3 m'
_space_group_IT_number 166
_space_group_name_Hall '-R 3 2"'
_cell_length_a 4.0801
_cell_length_b 4.0801
_cell_length_c 25.4346
_cell_angle_alpha 90.00
_cell_angle_beta 90.00
_cell_angle_gamma 120.00
loop_
_atom_site_label
_atom_site_fract_x
_atom_site_fract_y
_atom_site_fract_z
La1 0.0000 0.0000 0.0000
Zn1 0.0000 0.0000 0.2368
Ga1 0.0000 0.0000 0.5000
Ni1 0.0000 0.0000 0.1327
Ni2 0.0000 0.0000 0.4068